No. 1
Material: KIn6Ga3Co2
Method: DFT, GGA-PBE
State: optimized geometry

Geometry as POSCAR:
```
KIn6Ga3Co2
1.0
8.458 0.000 0.000
-4.229 7.325 0.000
0.000 0.000 4.186
K In Ga Co
1 6 3 2
direct
0.000 0.000 0.000
0.207 0.414 0.500
0.207 0.793 0.500
0.414 0.207 0.500
0.586 0.793 0.500
0.793 0.207 0.500
0.793 0.586 0.500
0.000 0.500 0.000
0.500 0.000 0.000
0.500 0.500 0.000
0.333 0.667 0.000
0.667 0.333 0.000
```

## Properties
**Total energy**: -3.568 eV per atom
**Total moment**: 0.00 μB per formula unit


No. 2
Material: Na2LiTmF6
Method: DFT, GGA-PBE
State: optimized geometry

Geometry as POSCAR:
```
Na2LiTmF6
1.0
5.262 0.000 0.000
0.000 5.519 0.000
-5.048 0.000 7.586
Na Li Tm F
4 2 2 12
direct
0.221 0.074 0.246
0.221 0.426 0.746
0.779 0.574 0.254
0.779 0.926 0.754
0.000 0.000 0.500
0.000 0.500 0.000
0.500 0.000 0.000
0.500 0.500 0.500
0.108 0.198 0.934
0.108 0.302 0.434
0.241 0.682 0.935
0.241 0.818 0.435
0.371 0.051 0.739
0.371 0.449 0.239
0.629 0.551 0.761
0.629 0.949 0.261
0.759 0.182 0.565
0.759 0.318 0.065
0.892 0.698 0.566
0.892 0.802 0.066
```

## Properties
**Total energy**: -5.287 eV per atom
**Total moment**: 0.00 μB per formula unit


No. 3
Material: Li3TaO4
Method: DFT, GGA-PBE
State: optimized geometry

Geometry as POSCAR:
```
Li3TaO4
1.0
4.868 -1.520 0.000
4.868 1.520 0.000
-1.046 0.000 4.984
Li Ta O
3 1 4
direct
0.000 0.000 0.000
0.251 0.251 0.788
0.749 0.749 0.212
0.500 0.500 0.500
0.115 0.115 0.389
0.380 0.380 0.143
0.620 0.620 0.857
0.885 0.885 0.611
```

## Properties
**Total energy**: -7.113 eV per atom
**Total moment**: 0.00 μB per formula unit
**Excess energy over the best structure of this formula in the dataset**: 0.0595 eV per atom


No. 4
Material: SmHfMg
Method: DFT, GGA-PBE
State: optimized geometry

Geometry as POSCAR:
```
SmHfMg
1.0
0.000 3.596 3.596
3.596 0.000 3.596
3.596 3.596 0.000
Sm Hf Mg
1 1 1
direct
0.000 0.000 0.000
0.750 0.750 0.750
0.250 0.250 0.250
```

## Properties
**Total energy**: -4.344 eV per atom
**Total moment**: 0.25 μB per formula unit
**Excess energy over the best structure of this formula in the dataset**: 0.3252 eV per atom


No. 5
Material: BeAlSiIr
Method: DFT, GGA-PBE
State: optimized geometry

Geometry as POSCAR:
```
BeAlSiIr
1.0
0.000 2.929 2.929
2.929 0.000 2.929
2.929 2.929 0.000
Be Al Si Ir
1 1 1 1
direct
0.000 0.000 0.000
0.250 0.250 0.250
0.500 0.500 0.500
0.750 0.750 0.750
```

## Properties
**Total energy**: -5.588 eV per atom
**Total moment**: 0.00 μB per formula unit
**Excess energy over the best structure of this formula in the dataset**: 0.0196 eV per atom


No. 6
Material: SrNdGe4Pd2
Method: DFT, GGA-PBE
State: optimized geometry

Geometry as POSCAR:
```
SrNdGe4Pd2
1.0
4.404 0.000 0.000
0.000 2.200 8.884
0.000 -2.200 8.884
Sr Nd Ge Pd
1 1 4 2
direct
0.000 0.000 0.000
0.500 0.215 0.215
0.000 0.356 0.356
0.000 0.645 0.645
0.500 0.571 0.571
0.500 0.853 0.853
0.000 0.782 0.782
0.500 0.428 0.428
```

## Properties
**Total energy**: -5.118 eV per atom
**Total moment**: 0.00 μB per formula unit


No. 7
Material: GdYIn2Pt4
Method: DFT, GGA-PBE
State: optimized geometry

Geometry as POSCAR:
```
GdYIn2Pt4
1.0
4.589 0.000 0.000
-2.294 3.974 0.000
0.000 0.000 9.056
Gd Y In Pt
1 1 2 4
direct
0.000 0.000 0.000
0.667 0.333 0.500
0.333 0.667 0.251
0.333 0.667 0.749
0.000 0.000 0.342
0.000 0.000 0.658
0.667 0.333 0.159
0.667 0.333 0.841
```

## Properties
**Total energy**: -6.062 eV per atom
**Total moment**: 0.01 μB per formula unit


No. 8
Material: FeCuAgPb
Method: DFT, GGA-PBE
State: optimized geometry

Geometry as POSCAR:
```
FeCuAgPb
1.0
0.000 3.249 3.249
3.249 0.000 3.249
3.249 3.249 0.000
Fe Cu Ag Pb
1 1 1 1
direct
0.000 0.000 0.000
0.500 0.500 0.500
0.750 0.750 0.750
0.250 0.250 0.250
```

## Properties
**Total energy**: -4.233 eV per atom
**Total moment**: 2.71 μB per formula unit
**Excess energy over the best structure of this formula in the dataset**: 0.0000 eV per atom